Entry one
Material: B2PbSe
Method: DFT, GGA-PBE
State: optimized geometry

```
data_B2PbSe
_symmetry_space_group_name_H-M 'F m -3 m'
_symmetry_Int_Tables_number 225
_symmetry_space_group_name_Hall '-F 4 2 3'
_cell_length_a 6.470
_cell_length_b 6.470
_cell_length_c 6.470
_cell_angle_alpha 90.00
_cell_angle_beta 90.00
_cell_angle_gamma 90.00
loop_
_atom_site_label
_atom_site_type_symbol
_atom_site_fract_x
_atom_site_fract_y
_atom_site_fract_z
B1 B 0.250 0.250 0.250
Pb1 Pb 0.000 0.000 0.000
Se1 Se 0.000 0.000 0.500
```

As for the total moment: 0.000 Bohr magnetons per cell.

Entry two
Material: B2PbSe
Method: DFT, GGA-PBE
State: optimized geometry

```
data_B2PbSe
_symmetry_space_group_name_H-M 'I -4 2 d'
_symmetry_Int_Tables_number 122
_symmetry_space_group_name_Hall 'I -4 2bw'
_cell_length_a 5.206
_cell_length_b 5.206
_cell_length_c 10.117
_cell_angle_alpha 90.00
_cell_angle_beta 90.00
_cell_angle_gamma 90.00
loop_
_atom_site_label
_atom_site_type_symbol
_atom_site_fract_x
_atom_site_fract_y
_atom_site_fract_z
B1 B 0.211 0.250 0.125
Pb1 Pb 0.000 0.000 0.500
Se1 Se 0.000 0.000 0.000
```

As for the total moment: 0.000 Bohr magnetons per cell.

Going by the energies, entry two is most stable and the next is 997 meV/atom up.